! PBE Tc2HgPt, optimized geometry; values from VASP
&SYSTEM
  ibrav = 0, nat = 4, ntyp = 3
/
ATOMIC_SPECIES
Tc 98.00 Tc.upf
Hg 200.59 Hg.upf
Pt 195.08 Pt.upf
CELL_PARAMETERS angstrom
2.844 0.000 0.000
0.000 2.844 0.000
0.000 0.000 8.111
ATOMIC_POSITIONS angstrom
Tc 0.000 0.000 0.000
Tc 1.422 1.422 1.666
Hg 0.000 0.000 3.918
Pt 1.422 1.422 6.154
! Total magnetization: 0.00 μB/cell
! DFT formation energy: 0.112 eV per atom
! Symmetry: No. 99